DFT (GGA-PBE) results for an optimized crystal structure of KZrAs2.

Unit cell a=8.811 b=8.811 c=8.811 alpha=159.79 beta=153.71 gamma=33.39
Atoms (fractional coordinates):
1 K 0.000 0.000 0.000
2 Zr 0.235 0.735 0.500
3 As 0.370 0.370 0.000
4 As 0.664 0.164 0.500

Results
**Total magnetic moment**: 0.000 Bohr magnetons per cell
**Energy of formation**: -0.556 eV/atom
**Excess energy over the best structure of this formula in the dataset**: 110 meV/atom